[1]
DyThRu2 | PBE | optimized geometry

Cell lengths 6.959, 6.959, 6.959 Å; angles 90.00, 90.00, 90.00 degrees
Space group Fm-3m (No. 225)
Symmetry-distinct sites (fractional):
1 Dy 0.000 0.000 0.000
2 Th 0.000 0.000 0.500
3 Ru 0.250 0.250 0.250

Output
E_form in meV per atom: -424
Crystal system: cubic
Total magnetic moment in μB/atom: 0.000

***

[2]
DyTm2ThRu4 | PBE | optimized geometry

Cell lengths 4.8316, 4.8316, 23.5607 Å; angles 90.00, 90.00, 120.00 degrees
Space group R-3m (No. 166, hexagonal axes)
Symmetry-distinct sites (fractional):
1 Dy 0.0000 0.0000 0.0000
2 Tm 0.0000 0.0000 0.2540
3 Th 0.0000 0.0000 0.5000
4 Ru 0.0000 0.0000 0.1270
5 Ru 0.0000 0.0000 0.3776

Output
E_form in meV per atom: -469
Crystal system: trigonal
Total magnetic moment in μB/atom: 0.000

***

[3]
DyThZnRu | PBE | optimized geometry

Cell lengths 7.100, 7.100, 7.100 Å; angles 90.00, 90.00, 90.00 degrees
Space group F-43m (No. 216)
Symmetry-distinct sites (fractional):
1 Dy 0.000 0.000 0.000
2 Th 0.000 0.000 0.500
3 Zn 0.250 0.250 0.250
4 Ru 0.250 0.250 0.750

Output
E_form in meV per atom: -325
Crystal system: cubic
Total magnetic moment in μB/atom: 0.000

***

[4]
DyTi4Ru5 | PBE | optimized geometry

Cell lengths 3.125, 3.125, 15.977 Å; angles 90.00, 90.00, 90.00 degrees
Space group P4/mmm (No. 123)
Symmetry-distinct sites (fractional):
1 Dy 0.000 0.000 0.000
2 Ti 0.000 0.000 0.210
3 Ti 0.000 0.000 0.403
4 Ru 0.500 0.500 0.122
5 Ru 0.500 0.500 0.310
6 Ru 0.500 0.500 0.500

Output
E_form in meV per atom: -657
Crystal system: tetragonal
Total magnetic moment in μB/atom: 0.000

***

[5]
Dy6TlRu2 | PBE | optimized geometry

Cell lengths 9.370, 9.562, 10.467 Å; angles 90.00, 90.00, 90.00 degrees
Space group Immm (No. 71)
Symmetry-distinct sites (fractional):
1 Dy 0.000 0.207 0.239
2 Dy 0.188 0.500 0.170
3 Dy 0.213 0.317 0.500
4 Tl 0.000 0.000 0.000
5 Tl 0.000 0.000 0.500
6 Ru 0.000 0.330 0.000
7 Ru 0.000 0.500 0.372

Output
E_form in meV per atom: -348
Crystal system: orthorhombic
Total magnetic moment in μB/atom: 0.000

***

[6]
Dy11Tl9Ru4 | PBE | optimized geometry

Cell lengths 14.564, 21.814, 3.753 Å; angles 90.00, 90.00, 90.00 degrees
Space group Cmmm (No. 65)
Symmetry-distinct sites (fractional):
1 Dy 0.000 0.000 0.000
2 Dy 0.000 0.163 0.000
3 Dy 0.000 0.373 0.000
4 Dy 0.189 0.500 0.000
5 Dy 0.247 0.335 0.000
6 Tl 0.000 0.500 0.500
7 Tl 0.110 0.260 0.500
8 Tl 0.144 0.073 0.500
9 Ru 0.147 0.401 0.500

Output
E_form in meV per atom: -365
Crystal system: orthorhombic
Total magnetic moment in μB/atom: 0.000

***

[7]
Dy2TlRu | PBE | optimized geometry

Cell lengths 3.6151, 3.6151, 26.9542 Å; angles 90.00, 90.00, 120.00 degrees
Space group R-3m (No. 166, hexagonal axes)
Symmetry-distinct sites (fractional):
1 Dy 0.0000 0.0000 0.2354
2 Tl 0.0000 0.0000 0.0000
3 Ru 0.0000 0.0000 0.5000

Output
E_form in meV per atom: -218
Offset from the most stable computed form in kJ/mol of atoms: 3.63
Crystal system: trigonal
Total magnetic moment in μB/atom: 0.000

***

[8]
Dy5TlRu | PBE | optimized geometry

Cell lengths 9.342, 7.469, 11.793 Å; angles 90.00, 106.71, 90.00 degrees
Space group C2/c (No. 15)
Symmetry-distinct sites (fractional):
1 Dy 0.000 0.004 0.250
2 Dy 0.123 0.330 0.062
3 Dy 0.248 0.166 0.624
4 Tl 0.000 0.406 0.750
5 Ru 0.000 0.000 0.000

Output
E_form in meV per atom: -139
Crystal system: monoclinic
Total magnetic moment in μB/atom: 0.000

***

What are the electronic total energy values for these records? In order: -129.09 -185.46 -95.49 -89.13 -206.65 -235.55 -65.16 -142.52 eV for the cell shown.